(1)
# MgIn3

A geometry-optimized MgIn3 structure (PBE, the Alexandria database).

Structure (extended XYZ):
```
16
Lattice="5.844 0.000 0.000 0.000 11.084 0.000 0.000 0.000 6.304" Properties=species:S:1:pos:R:3 pbc="T T T"
Mg 5.369 2.771 2.425
Mg 2.447 2.771 0.728
Mg 0.475 8.313 3.880
Mg 3.397 8.313 5.577
In 5.442 2.771 5.562
In 3.325 8.313 2.410
In 4.416 11.005 3.982
In 1.494 11.005 5.474
In 2.520 2.771 3.894
In 1.428 0.078 2.322
In 1.494 5.620 5.474
In 1.428 5.464 2.322
In 4.350 5.464 0.830
In 0.402 8.313 0.742
In 4.350 0.078 0.830
In 4.416 5.620 3.982
```

Output
Formation energy from the elements (kJ/mol of formula units): -6
Space-group type: Pnma (62)

---

(2)
# RbEuO

A geometry-optimized RbEuO structure (PBE, the Alexandria database).

Structure (extended XYZ):
```
3
Lattice="7.295 0.000 0.000 0.000 3.840 0.000 0.000 -1.920 3.325" Properties=species:S:1:pos:R:3 pbc="T T T"
Eu 1.335 0.000 2.217
O 0.440 0.000 0.000
Rb 5.520 1.920 1.108
```

Output
Space-group type: P3m1 (156)
ΔE_f (raw) (meV per atom): -1559.6

---

Copy entry 2 word for word.
# RbEuO

A geometry-optimized RbEuO structure (PBE, the Alexandria database).

Structure (extended XYZ):
```
3
Lattice="7.295 0.000 0.000 0.000 3.840 0.000 0.000 -1.920 3.325" Properties=species:S:1:pos:R:3 pbc="T T T"
Eu 1.335 0.000 2.217
O 0.440 0.000 0.000
Rb 5.520 1.920 1.108
```

Output
Space-group type: P3m1 (156)
ΔE_f (raw) (meV per atom): -1559.6